(1)
Below is a relaxed structure of PmTm4Ga15, with properties calculated at the PBE level. Values from VASP.

Structure (Quantum ESPRESSO input):
```
&SYSTEM
  ibrav = 0, nat = 20, ntyp = 3
/
ATOMIC_SPECIES
Ga 69.72 Ga.upf
Tm 168.93 Tm.upf
Pm 145.00 Pm.upf
CELL_PARAMETERS angstrom
-1.8470 -3.6709 1.1467
-0.5037 -1.0302 -4.1094
18.9927 -9.5365 0.0625
ATOMIC_POSITIONS angstrom
Ga 1.0535 -2.8281 0.5799
Tm 11.3780 -5.7131 0.0375
Ga 6.4458 -6.1772 -1.4562
Pm 0.0000 0.0000 0.0000
Ga 16.7639 -9.0589 -1.9986
Ga 12.3370 -8.4937 0.6170
Ga 16.0922 -10.3793 0.6294
Tm 3.8581 -1.9372 0.0127
Ga 4.8087 -4.7137 0.5922
Ga 13.0086 -7.1734 -2.0110
Tm 7.6147 -3.8234 0.0251
Ga 2.6503 -4.2715 -1.4687
Ga 1.7251 -1.5077 -2.0482
Ga 8.5728 -6.6037 0.6046
Tm 15.1346 -7.5993 0.0498
Ga 13.9916 -9.9661 -1.4314
Ga -1.1754 -2.3506 -1.4813
Ga 5.4803 -3.3933 -2.0358
Ga 9.2445 -5.2833 -2.0234
Ga 10.1962 -8.0604 -1.4439
```

Space group = No. 123
Volume = 387 Å³ per cell
Formation energy = -0.5195 eV/atom
D(E_F) = 0.394 states/eV per atom
Final energy = -78.4 eV/f.u.

=====

(2)
Below is a relaxed structure of SrSbPb, with properties calculated at the PBE level. Values from VASP.

Structure (Quantum ESPRESSO input):
```
&SYSTEM
  ibrav = 0, nat = 3, ntyp = 3
/
ATOMIC_SPECIES
Sr 87.62 Sr.upf
Sb 121.76 Sb.upf
Pb 207.20 Pb.upf
CELL_PARAMETERS angstrom
5.4279 0.0000 0.0000
2.7139 4.7007 0.0000
2.7139 1.5669 4.4318
ATOMIC_POSITIONS angstrom
Sr 8.1418 4.7007 3.3239
Sb 5.4279 3.1338 2.2159
Pb 0.0000 0.0000 0.0000
```

Space group = No. 216
Volume = 113 Å³ per cell
D(E_F) = 0.990 states/eV per atom
Final energy = -10.1 eV/f.u.
Energy above the most stable polymorph in this dataset = 1.06 eV per formula unit
E_form (uncorrected) = -183 meV per atom

=====

(3)
Below is a relaxed structure of LiPa2Si3Ir4, with properties calculated at the PBE level. Values from VASP.

Structure (Quantum ESPRESSO input):
```
&SYSTEM
  ibrav = 0, nat = 10, ntyp = 4
/
ATOMIC_SPECIES
Ir 192.22 Ir.upf
Si 28.09 Si.upf
Pa 231.04 Pa.upf
Li 6.94 Li.upf
CELL_PARAMETERS angstrom
-2.0503 3.4828 -0.1272
-3.3636 -2.0161 -0.9857
-2.3054 -0.9953 9.9023
ATOMIC_POSITIONS angstrom
Ir -2.5015 1.1040 6.2777
Ir -2.7069 0.7334 -0.5565
Si -1.9808 -1.1371 0.7915
Ir -2.5108 -1.3660 3.0682
Si -1.1527 -0.4977 4.9512
Si -3.0315 0.8752 8.5543
Pa -3.4015 -1.7505 6.8937
Ir 0.0000 0.0000 0.0000
Pa -1.6108 1.4885 2.4522
Li -3.8596 0.2357 4.3947
```

Space group = No. 115
Volume = 167 Å³ per cell
D(E_F) = 0.944 states/eV per atom
Final energy = -81.5 eV/f.u.
E_form (uncorrected) = -893 meV per atom

=====

Which of these has the highest final energy?
SrSbPb